Er2Sb2H: optimized geometry, PBE.

Geometry as CIF:
```
data_Er2Sb2H
_space_group_name_H-M_alt 'C m c 21'
_space_group_IT_number 36
_space_group_name_Hall 'C 2c -2'
_cell_length_a 4.236
_cell_length_b 18.345
_cell_length_c 6.094
_cell_angle_alpha 90.00
_cell_angle_beta 90.00
_cell_angle_gamma 90.00
loop_
_atom_site_label
_atom_site_fract_x
_atom_site_fract_y
_atom_site_fract_z
Er1 0.000 0.092 0.000
Er2 0.000 0.335 0.059
Sb1 0.000 0.290 0.555
Sb2 0.000 0.494 0.779
H1 0.000 0.126 0.659
```

Values from the calculation:
The calculation puts the total magnetization at 0.00 μB/f.u. For the total DFT energy (no corrections), the calculation gives -98.3 eV/cell. As for the density of states at the Fermi level: 0.118 states/eV/atom.


Ac3ZnSn: optimized geometry, PBE.

Geometry as CIF:
```
data_Ac3ZnSn
_space_group_name_H-M_alt 'P -1'
_space_group_IT_number 2
_space_group_name_Hall '-P 1'
_cell_length_a 4.494
_cell_length_b 8.976
_cell_length_c 9.277
_cell_angle_alpha 88.20
_cell_angle_beta 89.97
_cell_angle_gamma 75.51
loop_
_atom_site_label
_atom_site_fract_x
_atom_site_fract_y
_atom_site_fract_z
Ac1 0.044 0.412 0.188
Ac2 0.245 0.010 0.815
Ac3 0.399 0.707 0.439
Zn1 0.213 0.072 0.437
Sn1 0.393 0.714 0.070
```

Values from the calculation:
The calculation puts the total magnetization at 0.64 μB/f.u. Its formation energy is -0.3490 eV/atom. For the total DFT energy (no corrections), the calculation gives -38.7 eV/cell. As for the density of states at the Fermi level: 1.166 states/eV/atom.


GaSiCl3: optimized geometry, PBE.

Geometry as CIF:
```
data_GaSiCl3
_space_group_name_H-M_alt 'P m -3 m'
_space_group_IT_number 221
_space_group_name_Hall '-P 4 2 3'
_cell_length_a 5.069
_cell_length_b 5.069
_cell_length_c 5.069
_cell_angle_alpha 90.00
_cell_angle_beta 90.00
_cell_angle_gamma 90.00
loop_
_atom_site_label
_atom_site_fract_x
_atom_site_fract_y
_atom_site_fract_z
Ga1 0.000 0.000 0.000
Si1 0.500 0.500 0.500
Cl1 0.000 0.500 0.500
```

Values from the calculation:
The calculation puts the total magnetization at 0.00 μB/f.u. The uncorrected formation energy is -0.5366 eV per atom. For the total DFT energy (no corrections), the calculation gives -16.7 eV/cell. As for the density of states at the Fermi level: 0.000 states/eV/atom.


DyCuRhAu: optimized geometry, PBE.

Geometry as CIF:
```
data_DyCuRhAu
_space_group_name_H-M_alt 'F -4 3 m'
_space_group_IT_number 216
_space_group_name_Hall 'F -4 2 3'
_cell_length_a 6.592
_cell_length_b 6.592
_cell_length_c 6.592
_cell_angle_alpha 90.00
_cell_angle_beta 90.00
_cell_angle_gamma 90.00
loop_
_atom_site_label
_atom_site_fract_x
_atom_site_fract_y
_atom_site_fract_z
Dy1 0.000 0.000 0.000
Cu1 0.000 0.000 0.500
Rh1 0.250 0.250 0.750
Au1 0.250 0.250 0.250
```

Values from the calculation:
The calculation puts the total magnetization at 0.00 μB/f.u. Its formation energy is -0.4041 eV/atom. For the total DFT energy (no corrections), the calculation gives -83.8 eV/cell. As for the density of states at the Fermi level: 0.888 states/eV/atom.


TmTi2Re: optimized geometry, PBE.

Geometry as CIF:
```
data_TmTi2Re
_space_group_name_H-M_alt 'P 4/m m m'
_space_group_IT_number 123
_space_group_name_Hall '-P 4 2'
_cell_length_a 3.191
_cell_length_b 3.191
_cell_length_c 7.525
_cell_angle_alpha 90.00
_cell_angle_beta 90.00
_cell_angle_gamma 90.00
loop_
_atom_site_label
_atom_site_fract_x
_atom_site_fract_y
_atom_site_fract_z
Tm1 0.000 0.000 0.000
Ti1 0.500 0.500 0.310
Re1 0.000 0.000 0.500
```

Values from the calculation:
The calculation puts the total magnetization at 0.00 μB/f.u. Its formation energy is -0.0813 eV/atom. For the total DFT energy (no corrections), the calculation gives -33.0 eV/cell. As for the density of states at the Fermi level: 1.307 states/eV/atom.


Be2Al2Co5Si: optimized geometry, PBE.

Geometry as CIF:
```
data_Be2Al2Co5Si
_space_group_name_H-M_alt 'P 4/m b m'
_space_group_IT_number 127
_space_group_name_Hall '-P 4 2ab'
_cell_length_a 8.646
_cell_length_b 8.646
_cell_length_c 2.806
_cell_angle_alpha 90.00
_cell_angle_beta 90.00
_cell_angle_gamma 90.00
loop_
_atom_site_label
_atom_site_fract_x
_atom_site_fract_y
_atom_site_fract_z
Be1 0.126 0.374 0.000
Al1 0.171 0.671 0.000
Co1 0.000 0.500 0.500
Co2 0.074 0.201 0.500
Si1 0.000 0.000 0.000
```

Values from the calculation:
The calculation puts the total magnetization at 0.00 μB/f.u. The uncorrected formation energy is -0.4020 eV per atom. For the total DFT energy (no corrections), the calculation gives -119.8 eV/cell. As for the density of states at the Fermi level: 0.370 states/eV/atom.


PuCdHgPb: optimized geometry, PBE.

Geometry as CIF:
```
data_PuCdHgPb
_space_group_name_H-M_alt 'P m m m'
_space_group_IT_number 47
_space_group_name_Hall '-P 2 2'
_cell_length_a 4.464
_cell_length_b 4.748
_cell_length_c 4.952
_cell_angle_alpha 90.00
_cell_angle_beta 90.00
_cell_angle_gamma 90.00
loop_
_atom_site_label
_atom_site_fract_x
_atom_site_fract_y
_atom_site_fract_z
Pu1 0.000 0.000 0.000
Cd1 0.000 0.500 0.500
Hg1 0.500 0.000 0.500
Pb1 0.500 0.500 0.000
```

Values from the calculation:
The calculation puts the total magnetization at 5.79 μB/f.u. Its formation energy is -0.1044 eV/atom. For the total DFT energy (no corrections), the calculation gives -19.7 eV/cell. As for the density of states at the Fermi level: 3.450 states/eV/atom.


HfPa2O7: optimized geometry, PBE.

Geometry as CIF:
```
data_HfPa2O7
_space_group_name_H-M_alt 'R -3 m'
_space_group_IT_number 166
_space_group_name_Hall '-R 3 2"'
_cell_length_a 3.8332
_cell_length_b 3.8332
_cell_length_c 30.4512
_cell_angle_alpha 90.00
_cell_angle_beta 90.00
_cell_angle_gamma 120.00
loop_
_atom_site_label
_atom_site_fract_x
_atom_site_fract_y
_atom_site_fract_z
Hf1 0.0000 0.0000 0.0000
Pa1 0.0000 0.0000 0.4309
O1 0.0000 0.0000 0.0692
O2 0.0000 0.0000 0.2225
O3 0.0000 0.0000 0.3540
O4 0.0000 0.0000 0.5000
```

Values from the calculation:
The calculation puts the total magnetization at 0.00 μB/f.u. The uncorrected formation energy is -3.5198 eV per atom. For the total DFT energy (no corrections), the calculation gives -296.6 eV/cell. As for the density of states at the Fermi level: 0.000 states/eV/atom.


BeOsW2: optimized geometry, PBE.

Geometry as CIF:
```
data_BeOsW2
_space_group_name_H-M_alt 'P 4/m m m'
_space_group_IT_number 123
_space_group_name_Hall '-P 4 2'
_cell_length_a 3.091
_cell_length_b 3.091
_cell_length_c 5.839
_cell_angle_alpha 90.00
_cell_angle_beta 90.00
_cell_angle_gamma 90.00
loop_
_atom_site_label
_atom_site_fract_x
_atom_site_fract_y
_atom_site_fract_z
Be1 0.000 0.000 0.000
Os1 0.000 0.000 0.500
W1 0.500 0.500 0.218
```

Values from the calculation:
The calculation puts the total magnetization at 0.00 μB/f.u. Its formation energy is 0.2383 eV/atom. For the total DFT energy (no corrections), the calculation gives -39.9 eV/cell. As for the density of states at the Fermi level: 0.715 states/eV/atom.


SiSn3Rh: optimized geometry, PBE.

Geometry as CIF:
```
data_SiSn3Rh
_space_group_name_H-M_alt 'P m -3 m'
_space_group_IT_number 221
_space_group_name_Hall '-P 4 2 3'
_cell_length_a 5.062
_cell_length_b 5.062
_cell_length_c 5.062
_cell_angle_alpha 90.00
_cell_angle_beta 90.00
_cell_angle_gamma 90.00
loop_
_atom_site_label
_atom_site_fract_x
_atom_site_fract_y
_atom_site_fract_z
Si1 0.000 0.000 0.000
Sn1 0.000 0.000 0.500
Rh1 0.500 0.500 0.500
```

Values from the calculation:
The calculation puts the total magnetization at 0.00 μB/f.u. The uncorrected formation energy is 0.8485 eV per atom. For the total DFT energy (no corrections), the calculation gives -20.5 eV/cell. As for the density of states at the Fermi level: 0.775 states/eV/atom.


PuRhN2: optimized geometry, PBE.

Geometry as CIF:
```
data_PuRhN2
_space_group_name_H-M_alt 'R -3 m'
_space_group_IT_number 166
_space_group_name_Hall '-R 3 2"'
_cell_length_a 3.4303
_cell_length_b 3.4303
_cell_length_c 14.2155
_cell_angle_alpha 90.00
_cell_angle_beta 90.00
_cell_angle_gamma 120.00
loop_
_atom_site_label
_atom_site_fract_x
_atom_site_fract_y
_atom_site_fract_z
Pu1 0.0000 0.0000 0.0000
Rh1 0.0000 0.0000 0.5000
N1 0.0000 0.0000 0.2441
```

Values from the calculation:
The calculation puts the total magnetization at 5.02 μB/f.u. The uncorrected formation energy is -0.5074 eV per atom. For the total DFT energy (no corrections), the calculation gives -121.1 eV/cell. As for the density of states at the Fermi level: 0.876 states/eV/atom.